Entry 1:
UTcF: relaxed, PBE-GGA.

Computed properties:
The uncorrected formation energy is -1.224 eV/atom. The space group is No. 12.

Lattice parameters (Å, degrees): 10.2569 10.2569 6.4329 92.94 92.94 17.82
Atoms (fractional coordinates):
U 0.0853 0.0853 0.3339
U 0.1543 0.1543 0.8284
U 0.8457 0.8457 0.1716
U 0.9147 0.9147 0.6661
Tc 0.2180 0.2180 0.1435
Tc 0.3093 0.3093 0.5129
Tc 0.6907 0.6907 0.4871
Tc 0.7820 0.7820 0.8565
F 0.0421 0.0421 0.6691
F 0.4306 0.4306 0.9538
F 0.5694 0.5694 0.0462
F 0.9579 0.9579 0.3309

---

Entry 2:
Nd9Sm2Ho: relaxed, PBE-GGA.

Computed properties:
The space group is No. 123. As for the formation energy: 15 meV/atom.

Lattice parameters (Å, degrees): 5.1743 5.1743 15.5081 90.00 90.00 90.00
Atoms (fractional coordinates):
Nd 0.0000 0.0000 0.0000
Nd 0.0000 0.0000 0.3325
Nd 0.0000 0.0000 0.6675
Nd 0.0000 0.5000 0.1653
Nd 0.0000 0.5000 0.5000
Nd 0.0000 0.5000 0.8347
Nd 0.5000 0.0000 0.1653
Nd 0.5000 0.0000 0.5000
Nd 0.5000 0.0000 0.8347
Sm 0.5000 0.5000 0.3324
Sm 0.5000 0.5000 0.6676
Ho 0.5000 0.5000 0.0000

---

Number 1: total magnetic moment 6.0 Bohr magnetons per cell, final energy -9.066 eV/atom. Number 2: total magnetic moment 0.0 Bohr magnetons per cell, final energy -4.729 eV/atom.